No. 1
The following is a PBE calculation of Tb2CeHo5Er after structural relaxation, from Alexandria via LeMat-Bulk.

Computed properties:
Energy of formation (eV/atom): 0.1693
Space group: Cmc2_1 (36)

Cell and atoms, written as CIF:
```
data_Tb2CeHo5Er
_cell_length_a 11.091
_cell_length_b 11.091
_cell_length_c 9.491
_cell_angle_alpha 90.00
_cell_angle_beta 90.00
_cell_angle_gamma 150.41
_space_group_name_H-M_alt 'P 1'
_space_group_IT_number 1
loop_
_space_group_symop_operation_xyz
'x,y,z'
loop_
_atom_site_label
_atom_site_fract_x
_atom_site_fract_y
_atom_site_fract_z
_atom_site_occupancy
Tb1 0.114 0.886 0.500 1
Tb2 0.134 0.866 0.885 1
Tb3 0.866 0.134 0.385 1
Tb4 0.886 0.114 0.000 1
Ce1 0.191 0.809 0.197 1
Ce2 0.809 0.191 0.697 1
Ho1 0.014 0.986 0.190 1
Ho2 0.267 0.733 0.511 1
Ho3 0.306 0.694 0.892 1
Ho4 0.395 0.605 0.223 1
Ho5 0.471 0.529 0.925 1
Ho6 0.529 0.471 0.425 1
Ho7 0.605 0.395 0.723 1
Ho8 0.694 0.306 0.392 1
Ho9 0.733 0.267 0.011 1
Ho10 0.986 0.014 0.690 1
Er1 0.403 0.597 0.607 1
Er2 0.597 0.403 0.107 1
```


No. 2
The following is a PBE calculation of Tm3TlS after structural relaxation, from Alexandria via LeMat-Bulk.

Computed properties:
Relative energy among the computed polymorphs (meV/atom): 0
Energy relative to the elements, uncorrected (eV per atom): -0.95
Space group: Pnma (62)

Cell and atoms, written as CIF:
```
data_Tm3TlS
_cell_length_a 8.951
_cell_length_b 3.859
_cell_length_c 14.518
_cell_angle_alpha 90.00
_cell_angle_beta 90.00
_cell_angle_gamma 90.00
_space_group_name_H-M_alt 'P 1'
_space_group_IT_number 1
loop_
_space_group_symop_operation_xyz
'x,y,z'
loop_
_atom_site_label
_atom_site_fract_x
_atom_site_fract_y
_atom_site_fract_z
_atom_site_occupancy
Tm1 0.032 0.250 0.111 1
Tm2 0.168 0.250 0.512 1
Tm3 0.215 0.750 0.280 1
Tm4 0.285 0.250 0.780 1
Tm5 0.332 0.750 0.012 1
Tm6 0.468 0.750 0.611 1
Tm7 0.532 0.250 0.389 1
Tm8 0.668 0.250 0.988 1
Tm9 0.715 0.750 0.220 1
Tm10 0.785 0.250 0.720 1
Tm11 0.832 0.750 0.488 1
Tm12 0.968 0.750 0.889 1
Tl1 0.058 0.750 0.671 1
Tl2 0.442 0.250 0.171 1
Tl3 0.558 0.750 0.829 1
Tl4 0.942 0.250 0.329 1
S1 0.158 0.250 0.944 1
S2 0.342 0.750 0.444 1
S3 0.658 0.250 0.556 1
S4 0.842 0.750 0.056 1
```


No. 3
The following is a PBE calculation of Re2PtBr after structural relaxation, from Alexandria via LeMat-Bulk.

Computed properties:
Relative energy among the computed polymorphs (meV/atom): 628
Energy relative to the elements, uncorrected (eV per atom): 1.01
Space group: Cmmm (65)

Cell and atoms, written as CIF:
```
data_Re2PtBr
_cell_length_a 2.757
_cell_length_b 4.861
_cell_length_c 10.129
_cell_angle_alpha 90.00
_cell_angle_beta 90.00
_cell_angle_gamma 90.00
_space_group_name_H-M_alt 'P 1'
_space_group_IT_number 1
loop_
_space_group_symop_operation_xyz
'x,y,z'
loop_
_atom_site_label
_atom_site_fract_x
_atom_site_fract_y
_atom_site_fract_z
_atom_site_occupancy
Re1 0.000 0.000 0.233 1
Re2 0.000 0.000 0.767 1
Re3 0.500 0.500 0.233 1
Re4 0.500 0.500 0.767 1
Pt1 0.000 0.500 0.000 1
Pt2 0.500 0.000 0.000 1
Br1 0.000 0.500 0.500 1
Br2 0.500 0.000 0.500 1
```


No. 4
The following is a PBE calculation of Cs2K3Hg4Pt2 after structural relaxation, from Alexandria via LeMat-Bulk.

Computed properties:
Energy of formation (eV/atom): -0.1204
Space group: I4/mmm (139)

Cell and atoms, written as CIF:
```
data_Cs2K3Hg4Pt2
_cell_length_a 16.023
_cell_length_b 16.023
_cell_length_c 16.023
_cell_angle_alpha 160.43
_cell_angle_beta 160.43
_cell_angle_gamma 27.82
_space_group_name_H-M_alt 'P 1'
_space_group_IT_number 1
loop_
_space_group_symop_operation_xyz
'x,y,z'
loop_
_atom_site_label
_atom_site_fract_x
_atom_site_fract_y
_atom_site_fract_z
_atom_site_occupancy
Cs1 0.190 0.190 0.000 1
Cs2 0.810 0.810 0.000 1
K1 0.359 0.359 0.000 1
K2 0.500 0.500 0.000 1
K3 0.641 0.641 0.000 1
Hg1 0.080 0.580 0.500 1
Hg2 0.420 0.920 0.500 1
Hg3 0.580 0.080 0.500 1
Hg4 0.920 0.420 0.500 1
Pt1 0.084 0.084 0.000 1
Pt2 0.916 0.916 0.000 1
```


No. 5
The following is a PBE calculation of TiCo2SiOs after structural relaxation, from Alexandria via LeMat-Bulk.

Computed properties:
Energy relative to the elements, uncorrected (eV per atom): 1.38
Space group: P4/mmm (123)

Cell and atoms, written as CIF:
```
data_TiCo2SiOs
_cell_length_a 4.161
_cell_length_b 4.161
_cell_length_c 4.661
_cell_angle_alpha 90.00
_cell_angle_beta 90.00
_cell_angle_gamma 90.00
_space_group_name_H-M_alt 'P 1'
_space_group_IT_number 1
loop_
_space_group_symop_operation_xyz
'x,y,z'
loop_
_atom_site_label
_atom_site_fract_x
_atom_site_fract_y
_atom_site_fract_z
_atom_site_occupancy
Ti1 0.000 0.000 0.000 1
Co1 0.000 0.500 0.000 1
Co2 0.500 0.000 0.000 1
Si1 0.500 0.500 0.500 1
Os1 0.000 0.000 0.500 1
```


No. 6
The following is a PBE calculation of Pa2Ga8Ag after structural relaxation, from Alexandria via LeMat-Bulk.

Computed properties:
Energy of formation (eV/atom): -0.2698
Space group: P4/mmm (123)

Cell and atoms, written as CIF:
```
data_Pa2Ga8Ag
_cell_length_a 4.378
_cell_length_b 4.378
_cell_length_c 11.353
_cell_angle_alpha 90.00
_cell_angle_beta 90.00
_cell_angle_gamma 90.00
_space_group_name_H-M_alt 'P 1'
_space_group_IT_number 1
loop_
_space_group_symop_operation_xyz
'x,y,z'
loop_
_atom_site_label
_atom_site_fract_x
_atom_site_fract_y
_atom_site_fract_z
_atom_site_occupancy
Pa1 0.000 0.000 0.185 1
Pa2 0.000 0.000 0.815 1
Ga1 0.000 0.500 0.000 1
Ga2 0.000 0.500 0.366 1
Ga3 0.000 0.500 0.634 1
Ga4 0.500 0.000 0.000 1
Ga5 0.500 0.000 0.366 1
Ga6 0.500 0.000 0.634 1
Ga7 0.500 0.500 0.183 1
Ga8 0.500 0.500 0.817 1
Ag1 0.000 0.000 0.500 1
```


No. 7
The following is a PBE calculation of CePm2H after structural relaxation, from Alexandria via LeMat-Bulk.

Computed properties:
Relative energy among the computed polymorphs (meV/atom): 112
Space group: P4/mmm (123)

Cell and atoms, written as CIF:
```
data_CePm2H
_cell_length_a 3.338
_cell_length_b 3.338
_cell_length_c 8.600
_cell_angle_alpha 90.00
_cell_angle_beta 90.00
_cell_angle_gamma 90.00
_space_group_name_H-M_alt 'P 1'
_space_group_IT_number 1
loop_
_space_group_symop_operation_xyz
'x,y,z'
loop_
_atom_site_label
_atom_site_fract_x
_atom_site_fract_y
_atom_site_fract_z
_atom_site_occupancy
Ce1 0.000 0.000 0.000 1
Pm1 0.500 0.500 0.310 1
Pm2 0.500 0.500 0.690 1
H1 0.000 0.000 0.500 1
```


No. 8
The following is a PBE calculation of Li2Hg2Au after structural relaxation, from Alexandria via LeMat-Bulk.

Computed properties:
Relative energy among the computed polymorphs (meV/atom): 0
Energy of formation (eV/atom): -0.3421
Space group: C2/m (12)

Cell and atoms, written as CIF:
```
data_Li2Hg2Au
_cell_length_a 9.275
_cell_length_b 4.115
_cell_length_c 6.529
_cell_angle_alpha 90.00
_cell_angle_beta 132.27
_cell_angle_gamma 90.00
_space_group_name_H-M_alt 'P 1'
_space_group_IT_number 1
loop_
_space_group_symop_operation_xyz
'x,y,z'
loop_
_atom_site_label
_atom_site_fract_x
_atom_site_fract_y
_atom_site_fract_z
_atom_site_occupancy
Li1 0.090 0.000 0.303 1
Li2 0.410 0.500 0.697 1
Li3 0.590 0.500 0.303 1
Li4 0.910 0.000 0.697 1
Hg1 0.204 0.500 0.128 1
Hg2 0.296 0.000 0.872 1
Hg3 0.704 0.000 0.128 1
Hg4 0.796 0.500 0.872 1
Au1 0.000 0.500 0.500 1
Au2 0.500 0.000 0.500 1
```


| no. | total magnetization (μB/f.u.) |
| --- | --- |
| 1 | 0.555 |
| 2 | 0.297 |
| 3 | 0.000 |
| 4 | 0.000 |
| 5 | 1.527 |
| 6 | 0.000 |
| 7 | 0.500 |
| 8 | 0.000 |